# 1
# KMo3Br7 | Alexandria | GGA-PBE | relaxed
data_KMo3Br7
_chemical_formula_sum 'K8 Mo24 Br56'
_cell_length_a 14.0517
_cell_length_b 14.3328
_cell_length_c 14.3496
_cell_angle_alpha 90.00
_cell_angle_beta 90.00
_cell_angle_gamma 90.00
_space_group_name_H-M_alt 'P n n n'
_space_group_IT_number 48
loop_
_space_group_symop_operation_xyz
'x,y,z'
'-x,-y,-z'
'-x+1/2,-y+1/2,z'
'x+1/2,y+1/2,-z'
'x,-y+1/2,-z+1/2'
'-x,y+1/2,z+1/2'
'-x+1/2,y,-z+1/2'
'x+1/2,-y,z+1/2'
loop_
_atom_site_label
_atom_site_fract_x
_atom_site_fract_y
_atom_site_fract_z
_atom_site_occupancy
K1 0.0000 0.0000 0.0000 1
K2 0.2500 0.2500 0.2500 1
K3 0.2500 0.7500 0.2500 1
Mo1 0.0295 0.0427 0.3797 1
Mo2 0.0397 0.6203 0.0338 1
Mo3 0.1241 0.0281 0.5396 1
Br1 0.0549 0.1045 0.6907 1
Br2 0.0742 0.0997 0.2093 1
Br3 0.0934 0.7091 0.4178 1
Br4 0.1127 0.1902 0.4545 1
Br5 0.1323 0.6341 0.8751 1
Br6 0.1918 0.5481 0.1136 1
Br7 0.2032 0.0691 0.9075 1
# raw formation energy = -0.87 eV per atom
# DOS at the Fermi energy = 0.00 states/eV/cell
# uncorrected energy = -4.99 eV per atom

---

# 2
# CaScCd4 | Alexandria | GGA-PBE | relaxed
data_CaScCd4
_chemical_formula_sum 'Ca1 Sc1 Cd4'
_cell_length_a 3.3701
_cell_length_b 4.9355
_cell_length_c 8.5930
_cell_angle_alpha 90.00
_cell_angle_beta 90.29
_cell_angle_gamma 90.00
_space_group_name_H-M_alt 'P 1 2/m 1'
_space_group_IT_number 10
_space_group_name_Hall '-P 2y'
loop_
_atom_site_label
_atom_site_fract_x
_atom_site_fract_y
_atom_site_fract_z
_atom_site_occupancy
Ca1 0.0000 0.0000 0.0000 1
Sc1 0.0000 0.5000 0.5000 1
Cd1 0.4979 0.0000 0.6610 1
Cd2 0.5004 0.5000 0.1732 1
# DOS at the Fermi energy = 4.04 states/eV/cell
# polymorph energy (0 for the lowest one) = 0.000 eV per atom
# uncorrected energy = -2.27 eV per atom

---

# 3
# CaPr3Sm2Te6 | Alexandria | GGA-PBE | relaxed
data_CaPr3Sm2Te6
_chemical_formula_sum 'Ca2 Pr6 Sm4 Te12'
_cell_length_a 19.6390
_cell_length_b 4.4729
_cell_length_c 9.0450
_cell_angle_alpha 90.00
_cell_angle_beta 103.76
_cell_angle_gamma 90.00
_space_group_name_H-M_alt 'C 1 2/m 1'
_space_group_IT_number 12
_space_group_name_Hall '-C 2y'
loop_
_atom_site_label
_atom_site_fract_x
_atom_site_fract_y
_atom_site_fract_z
_atom_site_occupancy
Ca1 0.0000 0.0000 0.0000 1
Pr1 0.0000 0.0000 0.5000 1
Pr2 0.1679 0.5000 0.8284 1
Sm1 0.1704 0.5000 0.3398 1
Te1 0.0026 0.5000 0.2446 1
Te2 0.1638 0.0000 0.0855 1
Te3 0.1662 0.0000 0.5784 1
# raw formation energy = -1.45 eV per atom
# DOS at the Fermi energy = 11.96 states/eV/cell
# uncorrected energy = -5.17 eV per atom